No. 1
VASP calculation (PBE) on a relaxed PrDyCuPt crystal.

Lattice parameters (Å, degrees): 7.120 7.120 7.120 90.00 90.00 90.00
Space group F-43m (No. 216)
One atom of each set of equivalent atoms:
Pr  0.000  0.000  0.000 [4 per cell]
Dy  0.000  0.000  0.500 [4 per cell]
Cu  0.250  0.250  0.250 [4 per cell]
Pt  0.250  0.250  0.750 [4 per cell]

Values from the calculation:
The calculation puts the total magnetic moment at 0.0 μB/f.u. For the total energy, the calculation gives -0.4077 Ry/atom. As for the crystal system: cubic.

***

No. 2
VASP calculation (PBE) on a relaxed PrDyCuPt crystal.

Lattice parameters (Å, degrees): 4.447 3.870 10.878 90.00 90.00 90.00
Space group Amm2 (No. 38)
One atom of each set of equivalent atoms:
Pr  0.000  0.000  0.000 [2 per cell]
Dy  0.500  0.000  0.277 [2 per cell]
Cu  0.500  0.000  0.567 [2 per cell]
Pt  0.000  0.000  0.720 [2 per cell]

Values from the calculation:
The calculation puts the total magnetic moment at 0.0 μB/f.u. For the total energy, the calculation gives -0.4116 Ry/atom. As for the crystal system: orthorhombic.

***

No. 3
VASP calculation (PBE) on a relaxed PrDyCuRh crystal.

Lattice parameters (Å, degrees): 4.429 3.871 10.598 90.00 90.00 90.00
Space group Amm2 (No. 38)
One atom of each set of equivalent atoms:
Pr  0.000  0.000  0.000 [2 per cell]
Dy  0.500  0.000  0.723 [2 per cell]
Cu  0.500  0.000  0.429 [2 per cell]
Rh  0.000  0.000  0.275 [2 per cell]

Values from the calculation:
The calculation puts the total magnetic moment at 0.0 μB/f.u. For the total energy, the calculation gives -0.4196 Ry/atom. As for the crystal system: orthorhombic.

***

No. 4
VASP calculation (PBE) on a relaxed PrDyCuRh crystal.

Lattice parameters (Å, degrees): 7.052 7.052 7.052 90.00 90.00 90.00
Space group F-43m (No. 216)
One atom of each set of equivalent atoms:
Pr  0.000  0.000  0.000 [4 per cell]
Dy  0.000  0.000  0.500 [4 per cell]
Cu  0.250  0.250  0.250 [4 per cell]
Rh  0.250  0.250  0.750 [4 per cell]

Values from the calculation:
The calculation puts the total magnetic moment at 0.0 μB/f.u. For the total energy, the calculation gives -0.4164 Ry/atom. As for the crystal system: cubic.

***

No. 5
VASP calculation (PBE) on a relaxed PrDyCu2S4 crystal.

Lattice parameters (Å, degrees): 6.523 6.731 7.636 90.00 90.00 90.00
Space group I222 (No. 23)
One atom of each set of equivalent atoms:
Pr  0.000  0.000  0.000 [2 per cell]
Dy  0.000  0.000  0.500 [2 per cell]
Cu  0.000  0.500  0.170 [4 per cell]
S  0.247  0.219  0.301 [8 per cell]

Values from the calculation:
The value obtained for the energy relative to the elements, uncorrected is -1.2128 eV/atom. The calculation puts the total magnetic moment at 0.0 μB/f.u. As for the crystal system: orthorhombic.

***

No. 6
VASP calculation (PBE) on a relaxed Pr2DyCuSe5 crystal.

Lattice parameters (Å, degrees): 4.096 17.781 12.209 90.00 90.00 90.00
Space group Cmc2_1 (No. 36)
One atom of each set of equivalent atoms:
Pr  0.000  0.109  0.000 [4 per cell]
Pr  0.000  0.122  0.624 [4 per cell]
Dy  0.000  0.194  0.324 [4 per cell]
Cu  0.000  0.435  0.768 [4 per cell]
Se  0.000  0.043  0.374 [4 per cell]
Se  0.000  0.288  0.987 [4 per cell]
Se  0.000  0.312  0.661 [4 per cell]
Se  0.000  0.356  0.315 [4 per cell]
Se  0.000  0.499  0.094 [4 per cell]

Values from the calculation:
The value obtained for the energy relative to the elements, uncorrected is -1.6023 eV/atom. The calculation puts the total magnetic moment at 0.0 μB/f.u. As for the crystal system: orthorhombic.

***

No. 7
VASP calculation (PBE) on a relaxed PrDy2CuSe5 crystal.

Lattice parameters (Å, degrees): 3.981 19.315 11.589 90.00 90.00 90.00
Space group Cmc2_1 (No. 36)
One atom of each set of equivalent atoms:
Pr  0.000  0.194  0.000 [4 per cell]
Dy  0.000  0.089  0.673 [4 per cell]
Dy  0.000  0.109  0.300 [4 per cell]
Cu  0.000  0.431  0.442 [4 per cell]
Se  0.000  0.046  0.053 [4 per cell]
Se  0.000  0.303  0.689 [4 per cell]
Se  0.000  0.330  0.314 [4 per cell]
Se  0.000  0.360  0.996 [4 per cell]
Se  0.000  0.496  0.773 [4 per cell]

Values from the calculation:
The value obtained for the energy relative to the elements, uncorrected is -1.5078 eV/atom. The calculation puts the total magnetic moment at 0.0 μB/f.u. As for the crystal system: orthorhombic.

***

No. 8
VASP calculation (PBE) on a relaxed PrDyCu2Se4 crystal.

Lattice parameters (Å, degrees): 6.828 7.031 8.027 90.00 90.00 90.00
Space group I222 (No. 23)
One atom of each set of equivalent atoms:
Pr  0.000  0.000  0.000 [2 per cell]
Dy  0.000  0.000  0.500 [2 per cell]
Cu  0.000  0.500  0.156 [4 per cell]
Se  0.246  0.223  0.305 [8 per cell]

Values from the calculation:
The value obtained for the energy relative to the elements, uncorrected is -1.0624 eV/atom. The calculation puts the total magnetic moment at 0.0 μB/f.u. As for the crystal system: orthorhombic.

***

Question: Which formula does entry 5 have?
Answer: PrDyCu2S4

***

Repeat the seventh record exactly.
VASP calculation (PBE) on a relaxed PrDy2CuSe5 crystal.

Lattice parameters (Å, degrees): 3.981 19.315 11.589 90.00 90.00 90.00
Space group Cmc2_1 (No. 36)
One atom of each set of equivalent atoms:
Pr  0.000  0.194  0.000 [4 per cell]
Dy  0.000  0.089  0.673 [4 per cell]
Dy  0.000  0.109  0.300 [4 per cell]
Cu  0.000  0.431  0.442 [4 per cell]
Se  0.000  0.046  0.053 [4 per cell]
Se  0.000  0.303  0.689 [4 per cell]
Se  0.000  0.330  0.314 [4 per cell]
Se  0.000  0.360  0.996 [4 per cell]
Se  0.000  0.496  0.773 [4 per cell]

Values from the calculation:
The value obtained for the energy relative to the elements, uncorrected is -1.5078 eV/atom. The calculation puts the total magnetic moment at 0.0 μB/f.u. As for the crystal system: orthorhombic.